Below is a relaxed AsRuAu2 crystal, with properties calculated at the PBE level.

Unit cell a=6.422 b=6.422 c=6.422 alpha=152.02 beta=144.89 gamma=45.48
Element x y z (fractional)
Ru  0.750  0.250  0.500
Au  0.057  0.057  0.000
Au  0.443  0.443  0.000
As  0.250  0.750  0.500

Values from the calculation:
- space-group type = Immm, No. 71


Below is a relaxed As4RuAu crystal, with properties calculated at the PBE level.

Unit cell a=5.423 b=5.423 c=5.423 alpha=60.00 beta=60.00 gamma=60.00
Site moments in Bohr magnetons follow the coordinates.
Element x y z (fractional)
Au  0.750  0.750  0.750  0.02
As  0.375  0.375  0.875  0.03
As  0.875  0.375  0.375  0.03
As  0.375  0.375  0.375  0.03
As  0.375  0.875  0.375  0.03
Ru  0.000  0.000  0.000  1.13

Values from the calculation:
- space-group type = F-43m, No. 216


Below is a relaxed AsRuAu2 crystal, with properties calculated at the PBE level.

Unit cell a=5.065 b=5.065 c=2.902 alpha=90.00 beta=90.00 gamma=114.24
Element x y z (fractional)
Au  0.000  0.000  0.000
Au  0.500  0.500  0.000
As  0.000  0.500  0.500
Ru  0.500  0.000  0.500

Values from the calculation:
- space-group type = Cmmm, No. 65


Below is a relaxed As2RuAu crystal, with properties calculated at the PBE level.

Unit cell a=4.597 b=4.597 c=4.597 alpha=60.00 beta=60.00 gamma=60.00
Site moments in Bohr magnetons follow the coordinates.
Element x y z (fractional)
Ru  0.250  0.250  0.250  0.58
As  0.750  0.750  0.750  0.01
As  0.000  0.000  0.000  0.00
Au  0.500  0.500  0.500  0.04

Values from the calculation:
- space-group type = F-43m, No. 216
- energy relative to the lowest polymorph listed for this composition (eV per formula unit) = 2.07


| no. | calculated volume (Å³ per cell) | formation enthalpy at 0 K (eV/atom) |
| --- | --- | --- |
| 1 | 71 | 0.24 |
| 2 | 113 | 0.78 |
| 3 | 68 | 0.38 |
| 4 | 69 | 0.56 |